# PBE B2AuS, relaxed
# - Crystal system: tetragonal
# - DFT total energy: -4.690 eV per atom
# - Formation energy without anion corrections: 0.5000 eV per atom
data_B2AuS
_chemical_formula_sum 'B8 Au4 S4'
_space_group_name_H-M_alt 'I -4 2 d'
_space_group_IT_number 122
_space_group_name_Hall 'I -4 2bw'
_cell_length_a 4.9497
_cell_length_b 4.9497
_cell_length_c 8.5477
_cell_angle_alpha 90.00
_cell_angle_beta 90.00
_cell_angle_gamma 90.00
loop_
_atom_site_label
_atom_site_type_symbol
_atom_site_fract_x
_atom_site_fract_y
_atom_site_fract_z
B1 B 0.2095 0.2500 0.1250
Au1 Au 0.0000 0.0000 0.5000
S1 S 0.0000 0.0000 0.0000

=====

# PBE Cs2AgSn2Te4, relaxed
# - Crystal system: monoclinic
# - DFT total energy: -3.309 eV per atom
# - Formation energy without anion corrections: -0.5163 eV per atom
data_Cs2AgSn2Te4
_chemical_formula_sum 'Cs4 Ag2 Sn4 Te8'
_space_group_name_H-M_alt 'C 1 2/m 1'
_space_group_IT_number 12
_cell_length_a 17.8909
_cell_length_b 5.8502
_cell_length_c 8.0934
_cell_angle_alpha 90.00
_cell_angle_beta 115.10
_cell_angle_gamma 90.00
loop_
_space_group_symop_operation_xyz
'x,y,z'
'-x,-y,-z'
'-x,y,-z'
'x,-y,z'
'x+1/2,y+1/2,z'
'-x+1/2,-y+1/2,-z'
'-x+1/2,y+1/2,-z'
'x+1/2,-y+1/2,z'
loop_
_atom_site_label
_atom_site_type_symbol
_atom_site_fract_x
_atom_site_fract_y
_atom_site_fract_z
Cs1 Cs 0.1372 0.0000 0.1307
Ag1 Ag 0.0000 0.0000 0.5000
Sn1 Sn 0.1168 0.5000 0.6086
Te1 Te 0.9999 0.5000 0.2262
Te2 Te 0.1713 0.0000 0.6613

=====

Which value of DFT total energy does entry 2 give? -3.309 eV per atom

=====

Which value of DFT total energy does entry 2 give? -3.309 eV per atom

=====

The lowest formation energy without anion corrections belongs to which entry? Cs2AgSn2Te4

=====

Among the records above, which one has the highest DFT total energy? Cs2AgSn2Te4